Compound: Pr3Sm2Pt2
Source: Alexandria
Functional: PBE
Structure: relaxed

Calculated values
energy: -5.80 eV per atom
symmetry: P-1, No. 2
calculated formation energy: -4.71 eV per formula unit
magnetic moment: 0.00 μB per atom

Cell: 3.908 6.588 8.998 Å, 71.42 77.50 72.79°
Atoms (fractional coordinates):
Pr (0.000, 0.000, 0.000)
Pr (0.113, 0.205, 0.567)
Pr (0.887, 0.795, 0.433)
Sm (0.334, 0.520, 0.813)
Sm (0.666, 0.480, 0.187)
Pt (0.326, 0.114, 0.234)
Pt (0.674, 0.886, 0.766)